DFT (PBE) results for a geometry-optimized CaSm2ZrO6 structure.

Results
The calculation puts the mass density at 5.868 g cm⁻³. As for the total energy: -82.9 eV per formula unit. The calculated volume comes out at 14.94 Å³ per atom.

Unit cell a=6.0742 b=6.0742 c=6.0742 alpha=57.52 beta=57.52 gamma=57.52
With the nearest neighbours (Å) after each atom.
Fractional coordinates of all 10 atoms:
1 Ca 0.0000 0.0000 0.0000  6 O 2.31-2.46
2 Sm 0.2778 0.2778 0.2778  6 O 2.35-2.41
3 Sm 0.7786 0.7786 0.7786  6 O 2.28-2.46
4 Zr 0.4934 0.4934 0.4934  6 O 2.10-2.20
5 O 0.1213 0.6763 0.3894  1 Zr 2.20, 2 Sm 2.28-2.41, 1 Ca 2.31
6 O 0.2154 0.6017 0.8513  1 Zr 2.10, 1 Sm 2.35
7 O 0.3894 0.1213 0.6763  1 Zr 2.20, 2 Sm 2.28-2.41, 1 Ca 2.31
8 O 0.6017 0.8513 0.2154  1 Zr 2.10, 1 Sm 2.35
9 O 0.6763 0.3894 0.1213  1 Zr 2.20, 2 Sm 2.28-2.41, 1 Ca 2.31
10 O 0.8513 0.2154 0.6017  1 Zr 2.10, 1 Sm 2.35


DFT (PBE) results for a geometry-optimized CaSnO2 structure.

Results
The calculation puts the mass density at 4.063 g cm⁻³. As for the total energy: -23.1 eV per formula unit. The calculated volume comes out at 19.49 Å³ per atom.

Unit cell a=6.6438 b=6.6438 c=6.6438 alpha=132.59 beta=132.59 gamma=69.29
With the nearest neighbours (Å) after each atom.
Fractional coordinates of all 8 atoms:
1 Ca 0.0000 0.0000 0.0000  4 O 2.29
2 Ca 0.7500 0.2500 0.5000  4 O 2.29
3 Sn 0.2500 0.7500 0.5000  4 O 2.38
4 Sn 0.5000 0.5000 0.0000  4 O 2.38
5 O 0.1104 0.6250 0.9854  2 Ca 2.29, 2 Sn 2.38
6 O 0.3750 0.3604 0.4854  2 Ca 2.29, 2 Sn 2.38
7 O 0.6396 0.1250 0.0146  2 Ca 2.29, 2 Sn 2.38
8 O 0.8750 0.8896 0.5146  2 Ca 2.29, 2 Sn 2.38


DFT (PBE) results for a geometry-optimized CaSn3O structure.

Results
The calculation puts the mass density at 3.464 g cm⁻³. As for the total energy: -13.1 eV per formula unit. The calculated volume comes out at 39.52 Å³ per atom.

Unit cell a=5.8246 b=5.8246 c=5.8246 alpha=90.00 beta=90.00 gamma=90.00
With the nearest neighbours (Å) after each atom.
Fractional coordinates of all 5 atoms:
1 Ca 0.0000 0.0000 0.0000  6 Sn 2.91
2 Sn 0.0000 0.0000 0.5000  2 Ca 2.91
3 Sn 0.0000 0.5000 0.0000  2 Ca 2.91
4 Sn 0.5000 0.0000 0.0000  2 Ca 2.91
5 O 0.5000 0.5000 0.5000  12 Sn 4.12


DFT (PBE) results for a geometry-optimized CaSn2O structure.

Results
The calculation puts the mass density at 4.493 g cm⁻³. As for the total energy: -16.8 eV per formula unit. The calculated volume comes out at 27.12 Å³ per atom.

Unit cell a=8.2724 b=8.2724 c=8.2724 alpha=141.59 beta=141.59 gamma=55.45
With the nearest neighbours (Å) after each atom.
Fractional coordinates of all 8 atoms:
1 Ca 0.0000 0.0000 0.0000  4 Sn 3.12
2 Ca 0.7500 0.2500 0.5000  4 Sn 3.12
3 Sn 0.2658 0.6250 0.1408  2 O 2.36
4 Sn 0.3750 0.5158 0.6408  2 O 2.36
5 Sn 0.4842 0.1250 0.8592  2 O 2.36
6 Sn 0.8750 0.7342 0.3592  2 O 2.36
7 O 0.2500 0.7500 0.5000  4 Sn 2.36
8 O 0.5000 0.5000 0.0000  4 Sn 2.36


DFT (PBE) results for a geometry-optimized CaSnO2 structure.

Results
The calculation puts the mass density at 3.767 g cm⁻³. As for the total energy: -23.8 eV per formula unit. The calculated volume comes out at 21.03 Å³ per atom.

Unit cell a=3.5963 b=9.0393 c=10.5658 alpha=92.24 beta=90.06 gamma=101.40
With the nearest neighbours (Å) after each atom.
Fractional coordinates of all 16 atoms:
1 Ca 0.1711 0.3339 0.2582  4 O 2.20-2.44
2 Ca 0.3192 0.6390 0.0636  4 O 2.19-2.45
3 Ca 0.6808 0.3610 0.9364  4 O 2.19-2.45
4 Ca 0.8289 0.6661 0.7418  4 O 2.20-2.44
5 Sn 0.1488 0.3092 0.5996  3 O 2.08-2.24
6 Sn 0.4948 0.9781 0.2086  3 O 2.00-2.23
7 Sn 0.5052 0.0219 0.7914  3 O 2.00-2.23
8 Sn 0.8512 0.6908 0.4004  3 O 2.08-2.24
9 O 0.0471 0.1060 0.6919  3 Sn 2.08-2.23
10 O 0.1908 0.3800 0.0551  4 Ca 2.19-2.29
11 O 0.3084 0.6076 0.2934  2 Sn 2.23-2.24, 2 Ca 2.44-2.45
12 O 0.4000 0.8095 0.7189  1 Sn 2.00, 2 Ca 2.22
13 O 0.6000 0.1905 0.2811  1 Sn 2.00, 2 Ca 2.22
14 O 0.6916 0.3924 0.7066  2 Sn 2.23-2.24, 2 Ca 2.44-2.45
15 O 0.8092 0.6200 0.9449  4 Ca 2.19-2.29
16 O 0.9529 0.8940 0.3081  3 Sn 2.08-2.23


DFT (PBE) results for a geometry-optimized CaSnO2 structure.

Results
The calculation puts the mass density at 4.362 g cm⁻³. As for the total energy: -23.5 eV per formula unit. The calculated volume comes out at 18.16 Å³ per atom.

Unit cell a=6.3840 b=3.6147 c=6.6454 alpha=90.00 beta=108.68 gamma=90.00
With the nearest neighbours (Å) after each atom.
Fractional coordinates of all 8 atoms:
1 Ca 0.2409 0.2500 0.4857  6 O 2.33-2.55
2 Ca 0.7591 0.7500 0.5143  6 O 2.33-2.55
3 Sn 0.3205 0.7500 0.9983  2 O 2.03-2.04
4 Sn 0.6795 0.2500 0.0017  2 O 2.03-2.04
5 O 0.1398 0.7500 0.6850  1 Sn 2.03
6 O 0.3453 0.7500 0.3114  1 Sn 2.04
7 O 0.6547 0.2500 0.6886  1 Sn 2.04
8 O 0.8602 0.2500 0.3150  1 Sn 2.03


DFT (PBE) results for a geometry-optimized Ca9Sn3O2 structure.

Results
The calculation puts the mass density at 3.499 g cm⁻³. As for the total energy: -57.9 eV per formula unit. The calculated volume comes out at 25.38 Å³ per atom.

Unit cell a=6.9448 b=6.9448 c=8.5081 alpha=90.00 beta=90.00 gamma=120.00
With the nearest neighbours (Å) after each atom.
Fractional coordinates of all 14 atoms:
1 Ca 0.0000 0.5000 0.0000  2 O 2.44
2 Ca 0.1704 0.3408 0.6721  1 O 2.41
3 Ca 0.1704 0.8296 0.6721  1 O 2.41
4 Ca 0.3408 0.1704 0.3279  1 O 2.41
5 Ca 0.5000 0.0000 0.0000  2 O 2.44
6 Ca 0.5000 0.5000 0.0000  2 O 2.44
7 Ca 0.6592 0.8296 0.6721  1 O 2.41
8 Ca 0.8296 0.1704 0.3279  1 O 2.41
9 Ca 0.8296 0.6592 0.3279  1 O 2.41
10 Sn 0.0000 0.0000 0.0000  12 Ca 3.46-3.47
11 Sn 0.3333 0.6667 0.3330  12 Ca 3.47-3.49
12 Sn 0.6667 0.3333 0.6670  12 Ca 3.47-3.49
13 O 0.3333 0.6667 0.8360  6 Ca 2.41-2.44
14 O 0.6667 0.3333 0.1640  6 Ca 2.41-2.44


DFT (PBE) results for a geometry-optimized Ca2Sn3O8 structure.

Results
The calculation puts the mass density at 5.013 g cm⁻³. As for the total energy: -83.3 eV per formula unit. The calculated volume comes out at 14.38 Å³ per atom.

Unit cell a=6.5816 b=6.5816 c=5.4054 alpha=107.79 beta=107.79 gamma=58.45
With the nearest neighbours (Å) after each atom.
Fractional coordinates of all 13 atoms:
1 Ca 0.2190 0.2190 0.1537  6 O 2.32-2.52
2 Ca 0.7810 0.7810 0.8463  6 O 2.32-2.52
3 Sn 0.2381 0.7619 0.5000  6 O 2.07-2.19
4 Sn 0.5000 0.5000 0.0000  6 O 2.10-2.13
5 Sn 0.7619 0.2381 0.5000  6 O 2.07-2.19
6 O 0.1081 0.1081 0.4396  2 Sn 2.07
7 O 0.1696 0.6106 0.1028  2 Sn 2.09-2.10
8 O 0.3894 0.8304 0.8972  2 Sn 2.09-2.10
9 O 0.3980 0.3980 0.5866  3 Sn 2.13-2.19
10 O 0.6020 0.6020 0.4134  3 Sn 2.13-2.19
11 O 0.6106 0.1696 0.1028  2 Sn 2.09-2.10
12 O 0.8304 0.3894 0.8972  2 Sn 2.09-2.10
13 O 0.8919 0.8919 0.5604  2 Sn 2.07


DFT (PBE) results for a geometry-optimized CaSnO2 structure.

Results
The calculation puts the mass density at 4.645 g cm⁻³. As for the total energy: -23.9 eV per formula unit. The calculated volume comes out at 17.05 Å³ per atom.

Unit cell a=3.3403 b=9.1856 c=9.2020 alpha=97.89 beta=99.91 gamma=96.44
With the nearest neighbours (Å) after each atom.
Fractional coordinates of all 16 atoms:
1 Ca 0.0000 0.0000 0.0000  5 O 2.34-2.46
2 Ca 0.0035 0.2214 0.7132  5 O 2.34-2.54
3 Ca 0.0766 0.6120 0.8726  4 O 2.24-2.43
4 Ca 0.7918 0.4028 0.1574  5 O 2.29-2.47
5 Sn 0.4278 0.8783 0.6674  2 O 2.16-2.23
6 Sn 0.4286 0.5122 0.5372  3 O 2.13-2.24
7 Sn 0.5096 0.7462 0.2781  2 O 2.18
8 Sn 0.5909 0.1385 0.3378  5 O 2.08-2.26
9 O 0.1604 0.1153 0.4739  2 Sn 2.08-2.14
10 O 0.2336 0.2246 0.1689  1 Sn 2.09, 1 Ca 2.32
11 O 0.3196 0.5576 0.0984  1 Sn 2.18, 3 Ca 2.24-2.32
12 O 0.5026 0.0904 0.8264  1 Sn 2.23, 3 Ca 2.35-2.41
13 O 0.5334 0.4183 0.7375  1 Sn 2.13, 1 Ca 2.34
14 O 0.5478 0.9471 0.1768  2 Sn 2.11-2.18
15 O 0.6142 0.7801 0.8636  1 Sn 2.16, 3 Ca 2.25-2.34
16 O 0.8238 0.3815 0.4232  3 Sn 2.18-2.26


no.,formation energy without anion corrections (eV/atom)
1,-3.317
2,-1.800
3,1.173
4,-0.465
5,-1.963
6,-1.889
7,-1.286
8,-2.126
9,-1.983